NbVCu2 | PBE | optimized geometry

abc: 3.7488 3.7488 3.9767
angles: 90.00 90.00 90.00
Sites, in units of the cell vectors:
Nb: 0.0000 0.0000 0.0000
V: 0.5000 0.5000 0.0000
Cu: 0.0000 0.5000 0.5000
Cu: 0.5000 0.0000 0.5000

Values from the calculation:
Total energy ... -6.72 eV per atom
SG ... No. 123
Energy relative to the lowest polymorph listed for this composition ... 0.0 meV per atom